Record 1
The following is a GGA-PBE calculation of crystalline Pm3NdY8 at its relaxed geometry, from Alexandria.

Values from the calculation:
Formation energy from the elements, eV/atom: 0.309
Total DFT energy (no corrections), eV/atom: -5.585

Geometry as CIF:
```
data_Pm3NdY8
_symmetry_space_group_name_H-M 'I m m m'
_symmetry_Int_Tables_number 71
_symmetry_space_group_name_Hall '-I 2 2'
_cell_length_a 6.5143
_cell_length_b 11.3729
_cell_length_c 11.5816
_cell_angle_alpha 90.00
_cell_angle_beta 90.00
_cell_angle_gamma 90.00
loop_
_atom_site_label
_atom_site_type_symbol
_atom_site_fract_x
_atom_site_fract_y
_atom_site_fract_z
Pm1 Pm 0.0000 0.0000 0.0000
Pm2 Pm 0.0000 0.5000 0.2509
Nd1 Nd 0.0000 0.0000 0.5000
Y1 Y 0.0000 0.1691 0.2500
Y2 Y 0.2495 0.2512 0.5000
```



Record 2
The following is a GGA-PBE calculation of crystalline In2FeTe at its relaxed geometry, from Alexandria.

Values from the calculation:
Total DFT energy (no corrections), eV/atom: -3.821
ΔE_f (raw), meV/atom: 449

Geometry as CIF:
```
data_In2FeTe
_symmetry_space_group_name_H-M 'I -4 m 2'
_symmetry_Int_Tables_number 119
_symmetry_space_group_name_Hall 'I -4 -2'
_cell_length_a 4.6424
_cell_length_b 4.6424
_cell_length_c 8.8200
_cell_angle_alpha 90.00
_cell_angle_beta 90.00
_cell_angle_gamma 90.00
loop_
_atom_site_label
_atom_site_type_symbol
_atom_site_fract_x
_atom_site_fract_y
_atom_site_fract_z
In1 In 0.0000 0.0000 0.0000
In2 In 0.0000 0.5000 0.2500
Fe1 Fe 0.0000 0.0000 0.5000
Te1 Te 0.0000 0.5000 0.7500
```



Record 3
The following is a GGA-PBE calculation of crystalline YTlPt2 at its relaxed geometry, from Alexandria.

Values from the calculation:
Formation energy from the elements, eV/atom: -0.721
Total DFT energy (no corrections), eV/atom: -5.949

Geometry as CIF:
```
data_YTlPt2
_symmetry_space_group_name_H-M 'P 1 m 1'
_symmetry_Int_Tables_number 6
_symmetry_space_group_name_Hall 'P -2y'
_cell_length_a 3.8767
_cell_length_b 4.2571
_cell_length_c 5.5751
_cell_angle_alpha 90.00
_cell_angle_beta 110.19
_cell_angle_gamma 90.00
loop_
_atom_site_label
_atom_site_type_symbol
_atom_site_fract_x
_atom_site_fract_y
_atom_site_fract_z
Y1 Y 0.0000 0.0000 0.0000
Tl1 Tl 0.2908 0.5000 0.5823
Pt1 Pt 0.5575 0.5000 0.1166
Pt2 Pt 0.7238 0.0000 0.4462
```